A geometry-optimized CsCu2I4 structure. Source: Alexandria, functional PBE.

a = 5.7468 Å, b = 7.4377 Å, c = 7.4377 Å
α = 81.42°, β = 67.27°, γ = 67.27°
Last column: nearest neighbours and their distance in Å.
Atoms (fractional coordinates):
I1 0.6242 0.5651 0.1866  2 Cu 2.62
I2 0.3758 0.4349 0.8134  2 Cu 2.62
I3 0.1892 0.1866 0.4349  2 Cu 2.62
I4 0.8108 0.8134 0.5651  2 Cu 2.62
Cu1 0.2500 0.5000 0.5000  4 I 2.62, 2 Cu 2.87
Cu2 0.7500 0.5000 0.5000  4 I 2.62, 2 Cu 2.87
Cs1 0.0000 0.0000 0.0000  12 I 4.08-4.34

Computed properties:
total energy: -0.201 Ry/atom
total moment: 0.000 μB per formula unit
formation energy without anion corrections: -0.55 eV/atom
energy above the most stable polymorph in this dataset: 0.0 kJ/mol of atoms
symmetry: No. 87

---

A geometry-optimized InAg3Te structure. Source: Alexandria, functional PBE.

a = 5.3857 Å, b = 5.3857 Å, c = 5.3857 Å
α = 90.00°, β = 90.00°, γ = 90.00°
Last column: nearest neighbours and their distance in Å.
Atoms (fractional coordinates):
Ag1 0.5000 0.0000 0.0000  2 Te 2.69
Ag2 0.0000 0.0000 0.5000  2 Te 2.69
Ag3 0.0000 0.5000 0.0000  2 Te 2.69
Te1 0.0000 0.0000 0.0000  6 Ag 2.69
In1 0.5000 0.5000 0.5000  12 Ag 3.81

Computed properties:
total energy: -0.182 Ry/atom
total moment: 0.000 μB per formula unit
formation energy without anion corrections: 0.42 eV/atom
energy above the most stable polymorph in this dataset: 0.0 kJ/mol of atoms
symmetry: No. 221

---

A geometry-optimized ZrRe2Tc structure. Source: Alexandria, functional PBE.

a = 4.3559 Å, b = 3.8911 Å, c = 3.8911 Å
α = 90.00°, β = 90.00°, γ = 90.00°
Last column: nearest neighbours and their distance in Å.
Atoms (fractional coordinates):
Tc1 0.5000 0.5000 0.0000  4 Zr 2.75, 8 Re 2.92
Re1 0.0000 0.5000 0.5000  4 Re 2.75, 4 Tc 2.92, 4 Zr 2.92
Re2 0.0000 0.0000 0.0000  4 Re 2.75, 4 Tc 2.92, 4 Zr 2.92
Zr1 0.5000 0.0000 0.5000  4 Tc 2.75, 8 Re 2.92

Computed properties:
total energy: -0.791 Ry/atom
ΔH_f (0 K): 0.19 eV per atom
total moment: 0.000 μB per formula unit
energy above the most stable polymorph in this dataset: 25.2 kJ/mol of atoms
symmetry: No. 123

---

A geometry-optimized CuGeC2 structure. Source: Alexandria, functional PBE.

a = 4.5125 Å, b = 4.5125 Å, c = 5.6517 Å
α = 66.47°, β = 66.47°, γ = 90.00°
Last column: nearest neighbours and their distance in Å.
Atoms (fractional coordinates):
Cu1 0.2500 0.7500 0.5000  4 C 1.97
Cu2 0.5000 0.5000 0.0000  4 C 1.97
C1 0.6235 0.1250 0.2500  2 Cu 1.97, 2 Ge 1.98
C2 0.1265 0.6250 0.2500  2 Cu 1.97, 2 Ge 1.98
C3 0.3750 0.3765 0.7500  2 Cu 1.97, 2 Ge 1.98
C4 0.8750 0.8735 0.7500  2 Cu 1.97, 2 Ge 1.98
Ge1 0.0000 0.0000 0.0000  4 C 1.98
Ge2 0.7500 0.2500 0.5000  4 C 1.98

Computed properties:
total energy: -0.410 Ry/atom
ΔH_f (0 K): 1.22 eV per atom
total moment: 0.000 μB per formula unit
symmetry: No. 122

---

A geometry-optimized ZnSBrO4 structure. Source: Alexandria, functional PBE.

a = 7.2338 Å, b = 7.2338 Å, c = 5.6034 Å
α = 80.11°, β = 80.11°, γ = 58.05°
Last column: nearest neighbours and their distance in Å.
Atoms (fractional coordinates):
O1 0.4927 0.8312 0.8787  1 S 1.50
O2 0.1688 0.5073 0.1213  1 S 1.50
O3 0.4805 0.4805 0.2782  1 S 1.47
O4 0.7006 0.7006 0.4844  1 S 1.51
O5 0.2994 0.2994 0.5156  1 S 1.51
O6 0.5195 0.5195 0.7218  1 S 1.47
O7 0.5073 0.1688 0.1213  1 S 1.50
O8 0.8312 0.4927 0.8787  1 S 1.50
Br1 0.0402 0.0402 0.2957  1 Br 2.32
Br2 0.9598 0.9598 0.7043  1 Br 2.32
S1 0.6341 0.6341 0.7389  4 O 1.47-1.51
S2 0.3659 0.3659 0.2611  4 O 1.47-1.51
Zn1 0.3583 0.3583 0.8058  4 O 1.92-2.10
Zn2 0.6417 0.6417 0.1942  4 O 1.92-2.10

Computed properties:
total energy: -0.361 Ry/atom
total moment: 0.000 μB per formula unit
formation energy without anion corrections: -1.07 eV/atom
symmetry: No. 12

---

A geometry-optimized Li3ThNi3 structure. Source: Alexandria, functional PBE.

a = 6.0898 Å, b = 6.0898 Å, c = 6.0898 Å
α = 90.00°, β = 90.00°, γ = 90.00°
Last column: nearest neighbours and their distance in Å.
Atoms (fractional coordinates):
Ni1 0.2500 0.5000 0.0000  4 Li 2.15
Ni2 0.7500 0.5000 0.0000  4 Li 2.15
Ni3 0.5000 0.0000 0.7500  4 Li 2.15
Ni4 0.0000 0.7500 0.5000  4 Li 2.15
Ni5 0.0000 0.2500 0.5000  4 Li 2.15
Ni6 0.5000 0.0000 0.2500  4 Li 2.15
Th1 0.5000 0.5000 0.5000  12 Ni 3.40, 12 Li 3.40
Th2 0.0000 0.0000 0.0000  12 Li 3.40, 12 Ni 3.40
Li1 0.0000 0.5000 0.7500  4 Ni 2.15
Li2 0.5000 0.7500 0.0000  4 Ni 2.15
Li3 0.0000 0.5000 0.2500  4 Ni 2.15
Li4 0.7500 0.0000 0.5000  4 Ni 2.15
Li5 0.2500 0.0000 0.5000  4 Ni 2.15
Li6 0.5000 0.2500 0.0000  4 Ni 2.15

Computed properties:
total energy: -0.286 Ry/atom
ΔH_f (0 K): 0.47 eV per atom
total moment: 0.000 μB per formula unit
symmetry: No. 223

---

A geometry-optimized YVHCl2 structure. Source: Alexandria, functional PBE.

a = 5.1285 Å, b = 6.3547 Å, c = 5.1285 Å
α = 90.00°, β = 90.00°, γ = 90.00°
Last column: nearest neighbours and their distance in Å.
Atoms (fractional coordinates):
Cl1 0.0000 0.0000 0.5000  2 Y 2.56
Cl2 0.5000 0.0000 0.0000  2 Y 2.56
V1 0.0000 0.5000 0.0000  2 Y 3.18
H1 0.5000 0.5000 0.5000  4 V 3.63
Y1 0.0000 0.0000 0.0000  4 Cl 2.56

Computed properties:
total energy: -0.325 Ry/atom
total moment: 3.363 μB per formula unit
symmetry: No. 123

---

A geometry-optimized AcNd2Y6Ho3 structure. Source: Alexandria, functional PBE.

a = 6.2711 Å, b = 6.2711 Å, c = 11.9119 Å
α = 95.02°, β = 95.02°, γ = 120.00°
Last column: nearest neighbours and their distance in Å.
Atoms (fractional coordinates):
Y1 0.0862 0.4214 0.2563  3 Ho 3.53-3.55, 6 Y 3.61-3.64, 2 Nd 3.65-3.66, 1 Ac 3.67
Y2 0.9138 0.5786 0.7437  3 Ho 3.53-3.55, 6 Y 3.61-3.64, 2 Nd 3.65-3.66, 1 Ac 3.67
Y3 0.2493 0.2493 0.7434  3 Ho 3.53-3.54, 6 Y 3.61-3.64, 2 Nd 3.66, 1 Ac 3.67
Y4 0.5786 0.9138 0.7437  3 Ho 3.53-3.55, 6 Y 3.61-3.64, 2 Nd 3.65-3.66, 1 Ac 3.67
Y5 0.7507 0.7507 0.2566  3 Ho 3.53-3.54, 6 Y 3.61-3.64, 2 Nd 3.66, 1 Ac 3.67
Y6 0.4214 0.0862 0.2563  3 Ho 3.53-3.55, 6 Y 3.61-3.64, 2 Nd 3.65-3.66, 1 Ac 3.67
Nd1 0.3333 0.6667 0.0000  3 Nd 3.62, 3 Ac 3.62, 6 Y 3.65-3.66
Nd2 0.6667 0.3333 0.0000  3 Nd 3.62, 3 Ac 3.62, 6 Y 3.65-3.66
Ho1 0.1669 0.8331 0.5000  6 Y 3.53-3.55, 6 Ho 3.62-3.63
Ho2 0.5000 0.5000 0.5000  6 Y 3.53-3.54, 6 Ho 3.62
Ho3 0.8331 0.1669 0.5000  6 Y 3.53-3.55, 6 Ho 3.62-3.63
Ac1 0.0000 0.0000 0.0000  6 Nd 3.62, 6 Y 3.67

Computed properties:
total energy: -0.403 Ry/atom
ΔH_f (0 K): 0.03 eV per atom
total moment: 0.000 μB per formula unit
symmetry: No. 12

---

A geometry-optimized Cs4Pu6Br19 structure. Source: Alexandria, functional PBE.

a = 11.5813 Å, b = 11.5813 Å, c = 11.5813 Å
α = 109.47°, β = 109.47°, γ = 109.47°
Last column: nearest neighbours and their distance in Å.
Atoms (fractional coordinates):
Cs1 0.6924 0.0000 0.0000  7 Br 3.56-3.96
Cs2 0.0000 0.6924 0.0000  7 Br 3.56-3.96
Cs3 0.3076 0.3076 0.3076  7 Br 3.56-3.96
Cs4 0.0000 0.0000 0.6924  7 Br 3.56-3.96
Pu1 0.5000 0.8358 0.3358  6 Br 2.94-2.96
Pu2 0.1642 0.6642 0.5000  6 Br 2.94-2.96
Pu3 0.5000 0.1642 0.6642  6 Br 2.94-2.96
Pu4 0.3358 0.5000 0.8358  6 Br 2.94-2.96
Pu5 0.6642 0.5000 0.1642  6 Br 2.94-2.96
Pu6 0.8358 0.3358 0.5000  6 Br 2.94-2.96
Br1 0.6354 0.6708 0.3952  2 Pu 2.95-2.96
Br2 0.7244 0.3292 0.9646  2 Pu 2.95-2.96
Br3 0.6708 0.3952 0.6354  2 Pu 2.95-2.96
Br4 0.0000 0.0000 0.0000  4 Cs 3.56
Br5 0.3544 0.3544 0.0000  2 Pu 2.94
Br6 0.0000 0.3544 0.3544  2 Pu 2.94
Br7 0.7598 0.0354 0.3646  2 Pu 2.95-2.96
Br8 0.2756 0.2402 0.6048  2 Pu 2.95-2.96
Br9 0.6048 0.2756 0.2402  2 Pu 2.95-2.96
Br10 0.6456 0.0000 0.6456  2 Pu 2.94
Br11 0.3544 0.0000 0.3544  2 Pu 2.94
Br12 0.0000 0.6456 0.6456  2 Pu 2.94
Br13 0.6456 0.6456 0.0000  2 Pu 2.94
Br14 0.2402 0.6048 0.2756  2 Pu 2.95-2.96
Br15 0.3646 0.7598 0.0354  2 Pu 2.95-2.96
Br16 0.3292 0.9646 0.7244  2 Pu 2.95-2.96
Br17 0.3952 0.6354 0.6708  2 Pu 2.95-2.96
Br18 0.0354 0.3646 0.7598  2 Pu 2.95-2.96
Br19 0.9646 0.7244 0.3292  2 Pu 2.95-2.96

Computed properties:
total energy: -0.428 Ry/atom
total moment: 33.000 μB per formula unit
formation energy without anion corrections: -1.64 eV/atom
symmetry: No. 197

---

A geometry-optimized CeHo3Cd2 structure. Source: Alexandria, functional PBE.

a = 3.5673 Å, b = 3.5673 Å, c = 12.7614 Å
α = 90.00°, β = 90.00°, γ = 90.00°
Last column: nearest neighbours and their distance in Å.
Atoms (fractional coordinates):
Ce1 0.5000 0.5000 0.5000  8 Ho 3.44, 4 Ce 3.57
Cd1 0.5000 0.5000 0.8417  8 Ho 3.23, 4 Cd 3.57
Cd2 0.5000 0.5000 0.1583  8 Ho 3.23, 4 Cd 3.57
Ho1 0.0000 0.0000 0.3165  4 Cd 3.23, 4 Ce 3.44, 4 Ho 3.57
Ho2 0.0000 0.0000 0.0000  8 Cd 3.23, 4 Ho 3.57
Ho3 0.0000 0.0000 0.6835  4 Cd 3.23, 4 Ce 3.44, 4 Ho 3.57

Computed properties:
total energy: -0.276 Ry/atom
ΔH_f (0 K): -0.18 eV per atom
total moment: 0.218 μB per formula unit
symmetry: No. 123

---

A geometry-optimized AcTlB12 structure. Source: Alexandria, functional PBE.

a = 6.0030 Å, b = 6.0030 Å, c = 6.0030 Å
α = 60.00°, β = 60.00°, γ = 60.00°
Last column: nearest neighbours and their distance in Å.
Atoms (fractional coordinates):
B1 0.3979 0.3979 0.1021  5 B 1.73-1.78
B2 0.6021 0.8979 0.6021  5 B 1.73-1.78
B3 0.1021 0.3979 0.1021  5 B 1.73-1.78
B4 0.1021 0.1021 0.3979  5 B 1.73-1.78
B5 0.6021 0.8979 0.8979  5 B 1.73-1.78
B6 0.6021 0.6021 0.8979  5 B 1.73-1.78
B7 0.8979 0.6021 0.8979  5 B 1.73-1.78
B8 0.3979 0.1021 0.3979  5 B 1.73-1.78
B9 0.8979 0.6021 0.6021  5 B 1.73-1.78
B10 0.8979 0.8979 0.6021  5 B 1.73-1.78
B11 0.3979 0.1021 0.1021  5 B 1.73-1.78
B12 0.1021 0.3979 0.3979  5 B 1.73-1.78
Tl1 0.5000 0.5000 0.5000  24 B 3.12
Ac1 0.0000 0.0000 0.0000  24 B 3.12

Computed properties:
total energy: -0.470 Ry/atom
ΔH_f (0 K): -0.21 eV per atom
total moment: 0.000 μB per formula unit
symmetry: No. 225

---

A geometry-optimized Pm5Er2Mg structure. Source: Alexandria, functional PBE.

a = 7.0967 Å, b = 7.0967 Å, c = 7.0967 Å
α = 119.37°, β = 119.37°, γ = 91.10°
Last column: nearest neighbours and their distance in Å.
Atoms (fractional coordinates):
Pm1 0.2789 0.7785 0.0000  2 Mg 3.54-3.56, 6 Pm 3.54-3.58, 4 Er 3.55
Pm2 0.2777 0.2780 0.0000  8 Pm 3.54-3.55, 4 Er 3.58-3.59
Pm3 0.7772 0.2771 0.0000  6 Pm 3.54-3.58, 2 Mg 3.55, 4 Er 3.55
Pm4 0.7779 0.7780 0.5001  6 Pm 3.55-3.58, 2 Mg 3.55, 4 Er 3.55
Pm5 0.2778 0.2779 0.4999  2 Mg 3.55, 6 Pm 3.55-3.58, 4 Er 3.55
Er1 0.7784 0.2787 0.5013  10 Pm 3.55-3.59, 2 Mg 3.57-3.59
Er2 0.2771 0.7773 0.4987  10 Pm 3.55-3.59, 2 Mg 3.58-3.59
Mg1 0.7779 0.7775 0.0000  8 Pm 3.54-3.56, 4 Er 3.57-3.59

Computed properties:
total energy: -0.316 Ry/atom
ΔH_f (0 K): 0.01 eV per atom
total moment: 0.001 μB per formula unit
symmetry: No. 42